No. 1
The following is a DFT calculation (PBE) of CaSmTlGa after structural relaxation.

```
4
Lattice="3.750 0.000 0.000 0.000 3.750 0.000 0.000 0.000 7.620" Properties=species:S:1:pos:R:3 pbc="T T T"
Ca 0.000 0.000 0.000
Sm 0.000 0.000 3.562
Tl 1.875 1.875 5.618
Ga 1.875 1.875 1.812
```

Polymorph energy (0 for the lowest one) ... 0.000 eV/atom
Calculated volume ... 26.8 A^3/atom
Space group ... P4mm
E_form ... -0.455 eV/atom
D(E_F) ... 2.3 states/eV/f.u.

---

No. 2
The following is a DFT calculation (PBE) of TiBeB after structural relaxation.

```
12
Lattice="4.421 0.000 0.000 0.000 4.691 0.000 -2.365 0.000 5.692" Properties=species:S:1:pos:R:3 pbc="T T T"
Ti 0.009 0.605 2.173
Ti -1.174 1.740 5.019
Ti 3.230 2.951 0.672
Ti 2.048 4.085 3.518
Be -0.147 2.862 3.004
Be 1.035 4.174 0.158
Be 1.021 0.516 5.534
Be 2.203 1.829 2.688
B 0.974 2.847 1.480
B -0.208 4.190 4.326
B 2.265 0.501 1.366
B 1.083 1.844 4.211
```

Polymorph energy (0 for the lowest one) ... 0.224 eV/atom
Calculated volume ... 9.8 A^3/atom
Space group ... P2_1/c
E_form ... -0.392 eV/atom
D(E_F) ... 1.4 states/eV/f.u.

---

No. 3
The following is a DFT calculation (PBE) of Na3CaSi after structural relaxation.

```
5
Lattice="5.604 0.000 0.000 0.000 5.604 0.000 0.000 0.000 5.604" Properties=species:S:1:pos:R:3 pbc="T T T"
Na 0.000 0.000 2.802
Na 0.000 2.802 0.000
Na 2.802 0.000 0.000
Ca 2.802 2.802 2.802
Si 0.000 0.000 0.000
```

Polymorph energy (0 for the lowest one) ... 0.000 eV/atom
Calculated volume ... 35.2 A^3/atom
Space group ... Pm-3m
D(E_F) ... 2.6 states/eV/f.u.

---

No. 4
The following is a DFT calculation (PBE) of Tb3CeDy2Er6 after structural relaxation.

```
12
Lattice="3.058 -5.293 0.000 3.058 5.293 0.000 -2.036 0.000 11.494" Properties=species:S:1:pos:R:3 pbc="T T T"
Tb 0.000 0.000 0.000
Tb 3.058 1.773 0.000
Tb 3.058 -1.773 0.000
Ce 2.040 0.000 5.747
Dy 2.040 3.529 5.747
Dy 2.040 -3.529 5.747
Er 1.025 1.753 2.878
Er 0.016 0.000 8.618
Er 1.025 -1.753 2.878
Er 3.055 1.753 8.616
Er 4.064 0.000 2.876
Er 3.055 -1.753 8.616
```

Calculated volume ... 31.0 A^3/atom
Space group ... C2/m
E_form ... 0.035 eV/atom
D(E_F) ... 18.6 states/eV/f.u.

---

No. 5
The following is a DFT calculation (PBE) of Zn3SbTe after structural relaxation.

```
5
Lattice="5.171 0.000 0.000 0.000 5.171 0.000 0.000 0.000 5.171" Properties=species:S:1:pos:R:3 pbc="T T T"
Zn 0.000 0.000 2.586
Zn 0.000 2.586 0.000
Zn 2.586 0.000 0.000
Sb 0.000 0.000 0.000
Te 2.586 2.586 2.586
```

Polymorph energy (0 for the lowest one) ... 0.000 eV/atom
Calculated volume ... 27.7 A^3/atom
Space group ... Pm-3m
D(E_F) ... 2.0 states/eV/f.u.

---

No. 6
The following is a DFT calculation (PBE) of KRePt after structural relaxation.

```
6
Lattice="3.704 -2.139 0.000 3.704 2.139 0.000 -2.295 0.000 11.348" Properties=species:S:1:pos:R:3 pbc="T T T"
K 1.325 0.000 2.165
K 3.788 0.000 9.183
Re 1.322 0.000 5.693
Re 3.791 0.000 5.655
Pt -1.148 0.000 7.041
Pt 6.261 0.000 4.307
```

Polymorph energy (0 for the lowest one) ... 0.000 eV/atom
Calculated volume ... 30.0 A^3/atom
Space group ... C2/m
E_form ... 0.228 eV/atom
D(E_F) ... 1.7 states/eV/f.u.

---

No. 7
The following is a DFT calculation (PBE) of Tb5Dy12Mg after structural relaxation.

```
18
Lattice="9.173 -5.301 0.000 9.173 5.301 0.000 -2.023 0.000 5.770" Properties=species:S:1:pos:R:3 pbc="T T T"
Tb 0.000 0.000 0.000
Tb 2.051 0.000 2.885
Tb 6.116 0.000 0.004
Tb 10.206 0.000 5.766
Tb 14.270 0.000 2.886
Dy 3.056 1.766 0.020
Dy 13.266 -1.766 5.751
Dy 5.109 1.765 2.897
Dy 8.161 3.528 2.885
Dy 3.056 -1.766 0.020
Dy 9.173 1.763 0.000
Dy 5.109 -1.765 2.897
Dy 11.213 1.765 2.873
Dy 13.266 1.766 5.751
Dy 9.173 -1.763 0.000
Dy 8.161 -3.528 2.885
Dy 11.213 -1.765 2.873
Mg 8.161 0.000 2.885
```

Calculated volume ... 31.2 A^3/atom
Space group ... C2/m
E_form ... 0.022 eV/atom
D(E_F) ... 24.6 states/eV/f.u.

---

No. 8
The following is a DFT calculation (PBE) of LiC4S2 after structural relaxation.

```
7
Lattice="-2.176 2.176 4.960 2.176 -2.176 4.960 2.176 2.176 -4.960" Properties=species:S:1:pos:R:3 pbc="T T T"
Li 0.000 0.000 0.000
C 2.176 0.000 0.000
C 0.000 0.000 1.945
C 0.000 2.176 0.000
C 0.000 0.000 7.975
S 0.000 0.000 3.505
S 0.000 0.000 6.414
```

Calculated volume ... 13.4 A^3/atom
E_tot ... -29.80 eV/f.u.
Space group ... I4/mmm
D(E_F) ... 3.9 states/eV/f.u.